Compound: LiFePO4
Source: the Alexandria database
Functional: PBE+U
Structure: relaxed

Lattice parameters (Å, degrees): 8.633 7.816 17.590 90.00 118.90 90.00
Sites, in units of the cell vectors:
Li1 0.038 0.217 0.428
Li2 0.038 0.283 0.928
Li3 0.326 0.220 0.225
Li4 0.326 0.280 0.725
Li5 0.376 0.740 0.410
Li6 0.376 0.760 0.910
Li7 0.624 0.240 0.090
Li8 0.624 0.260 0.590
Li9 0.674 0.720 0.275
Li10 0.674 0.780 0.775
Li11 0.962 0.717 0.072
Li12 0.962 0.783 0.572
Fe1 0.005 0.248 0.747
Fe2 0.005 0.252 0.247
Fe3 0.276 0.510 0.552
Fe4 0.276 0.990 0.052
Fe5 0.355 0.526 0.097
Fe6 0.355 0.974 0.597
Fe7 0.645 0.026 0.403
Fe8 0.645 0.474 0.903
Fe9 0.724 0.010 0.948
Fe10 0.724 0.490 0.448
Fe11 0.995 0.748 0.753
Fe12 0.995 0.752 0.253
P1 0.038 0.675 0.932
P2 0.038 0.825 0.432
P3 0.322 0.670 0.723
P4 0.322 0.830 0.223
P5 0.371 0.175 0.912
P6 0.371 0.325 0.412
P7 0.629 0.675 0.588
P8 0.629 0.825 0.088
P9 0.678 0.170 0.777
P10 0.678 0.330 0.277
P11 0.962 0.175 0.568
P12 0.962 0.325 0.068
O1 0.073 0.692 0.505
O2 0.073 0.808 0.005
O3 0.119 0.746 0.376
O4 0.119 0.754 0.876
O5 0.139 0.746 0.198
O6 0.139 0.754 0.698
O7 0.143 0.508 0.974
O8 0.143 0.992 0.474
O9 0.160 0.138 0.627
O10 0.160 0.362 0.127
O11 0.246 0.146 0.951
O12 0.246 0.354 0.451
O13 0.255 0.248 0.817
O14 0.255 0.252 0.317
O15 0.285 0.501 0.670
O16 0.285 0.999 0.170
O17 0.422 0.706 0.193
O18 0.422 0.794 0.693
O19 0.429 0.637 0.822
O20 0.429 0.863 0.322
O21 0.453 0.003 0.905
O22 0.453 0.497 0.405
O23 0.483 0.694 0.035
O24 0.483 0.806 0.535
O25 0.517 0.194 0.465
O26 0.517 0.306 0.965
O27 0.547 0.503 0.595
O28 0.547 0.997 0.095
O29 0.571 0.137 0.678
O30 0.571 0.363 0.178
O31 0.578 0.206 0.307
O32 0.578 0.294 0.807
O33 0.715 0.001 0.830
O34 0.715 0.499 0.330
O35 0.745 0.748 0.683
O36 0.745 0.752 0.183
O37 0.754 0.646 0.549
O38 0.754 0.854 0.049
O39 0.840 0.638 0.873
O40 0.840 0.862 0.373
O41 0.857 0.008 0.526
O42 0.857 0.492 0.026
O43 0.861 0.246 0.302
O44 0.861 0.254 0.802
O45 0.881 0.246 0.124
O46 0.881 0.254 0.624
O47 0.927 0.192 0.995
O48 0.927 0.308 0.495

Space group: P2_1/c, No. 14
DOS(E_F): 0.000 states/eV/cell
Total moment: 0.57 μB per atom
Relative energy among the computed polymorphs: 0.41 eV per formula unit
Uncorrected energy: -6.773 eV/atom